# LaSc2Re, relaxed, DFT GGA-PBE
data_LaSc2Re
_cell_length_a 4.326
_cell_length_b 4.326
_cell_length_c 20.500
_cell_angle_alpha 90.00
_cell_angle_beta 90.00
_cell_angle_gamma 90.00
_space_group_name_H-M_alt 'I -4 2 d'
_space_group_IT_number 122
_space_group_name_Hall 'I -4 2bw'
loop_
_atom_site_label
_atom_site_fract_x
_atom_site_fract_y
_atom_site_fract_z
La1 0.000 0.000 0.000
Sc1 0.218 0.250 0.625
Re1 0.000 0.000 0.500
# Density of states at the Fermi level, states/eV/cell: 13.05
# Size of the total moment, μB/f.u.: 0.000
# ΔE to the lowest computed polymorph, meV/atom: 600
# DFT formation energy, eV/atom: 0.612



# La2ScRe, relaxed, DFT GGA-PBE
data_La2ScRe
_cell_length_a 3.4282
_cell_length_b 3.4282
_cell_length_c 30.8570
_cell_angle_alpha 90.00
_cell_angle_beta 90.00
_cell_angle_gamma 120.00
_space_group_name_H-M_alt 'R 3 m'
_space_group_IT_number 160
_space_group_name_Hall 'R 3 -2"'
loop_
_atom_site_label
_atom_site_fract_x
_atom_site_fract_y
_atom_site_fract_z
La1 0.0000 0.0000 0.0000
La2 0.0000 0.0000 0.2317
Sc1 0.0000 0.0000 0.4663
Re1 0.0000 0.0000 0.7383
# Density of states at the Fermi level, states/eV/cell: 12.64
# Size of the total moment, μB/f.u.: 0.000
# ΔE to the lowest computed polymorph, meV/atom: 184
# DFT formation energy, eV/atom: 0.349



# LaSc2Re2, relaxed, DFT GGA-PBE
data_LaSc2Re2
_cell_length_a 8.313
_cell_length_b 8.313
_cell_length_c 3.003
_cell_angle_alpha 90.00
_cell_angle_beta 90.00
_cell_angle_gamma 90.00
_space_group_name_H-M_alt 'P 4/m b m'
_space_group_IT_number 127
_space_group_name_Hall '-P 4 2ab'
loop_
_atom_site_label
_atom_site_fract_x
_atom_site_fract_y
_atom_site_fract_z
La1 0.000 0.000 0.000
Sc1 0.136 0.364 0.500
Re1 0.158 0.658 0.000
# Density of states at the Fermi level, states/eV/cell: 7.45
# Size of the total moment, μB/f.u.: 0.000
# DFT formation energy, eV/atom: 0.226



# LaScRe2, relaxed, DFT GGA-PBE
data_LaScRe2
_cell_length_a 3.273
_cell_length_b 4.928
_cell_length_c 9.313
_cell_angle_alpha 90.00
_cell_angle_beta 90.00
_cell_angle_gamma 90.00
_space_group_name_H-M_alt 'I m m m'
_space_group_IT_number 71
_space_group_name_Hall '-I 2 2'
loop_
_atom_site_label
_atom_site_fract_x
_atom_site_fract_y
_atom_site_fract_z
La1 0.000 0.000 0.000
Sc1 0.000 0.000 0.500
Re1 0.000 0.500 0.252
# Density of states at the Fermi level, states/eV/cell: 6.88
# Size of the total moment, μB/f.u.: 0.000
# ΔE to the lowest computed polymorph, meV/atom: 456
# DFT formation energy, eV/atom: 0.482



# LaScRe2, relaxed, DFT GGA-PBE
data_LaScRe2
_cell_length_a 6.612
_cell_length_b 8.649
_cell_length_c 2.784
_cell_angle_alpha 90.00
_cell_angle_beta 90.00
_cell_angle_gamma 90.00
_space_group_name_H-M_alt 'C m m m'
_space_group_IT_number 65
_space_group_name_Hall '-C 2 2'
loop_
_atom_site_label
_atom_site_fract_x
_atom_site_fract_y
_atom_site_fract_z
La1 0.000 0.000 0.000
Sc1 0.000 0.500 0.000
Re1 0.250 0.250 0.500
# Density of states at the Fermi level, states/eV/cell: 7.97
# Size of the total moment, μB/f.u.: 0.000
# ΔE to the lowest computed polymorph, meV/atom: 577
# DFT formation energy, eV/atom: 0.603



# LaScRe2, relaxed, DFT GGA-PBE
data_LaScRe2
_cell_length_a 3.264
_cell_length_b 4.880
_cell_length_c 9.474
_cell_angle_alpha 90.00
_cell_angle_beta 90.00
_cell_angle_gamma 90.00
_space_group_name_H-M_alt 'C m m m'
_space_group_IT_number 65
_space_group_name_Hall '-C 2 2'
loop_
_atom_site_label
_atom_site_fract_x
_atom_site_fract_y
_atom_site_fract_z
La1 0.000 0.000 0.000
Sc1 0.000 0.000 0.500
Re1 0.000 0.500 0.267
# Density of states at the Fermi level, states/eV/cell: 7.90
# Size of the total moment, μB/f.u.: 0.000
# ΔE to the lowest computed polymorph, meV/atom: 385
# DFT formation energy, eV/atom: 0.411



# La3ScRe, relaxed, DFT GGA-PBE
data_La3ScRe
_cell_length_a 5.573
_cell_length_b 5.573
_cell_length_c 5.573
_cell_angle_alpha 90.00
_cell_angle_beta 90.00
_cell_angle_gamma 90.00
_space_group_name_H-M_alt 'P m -3 m'
_space_group_IT_number 221
_space_group_name_Hall '-P 4 2 3'
loop_
_atom_site_label
_atom_site_fract_x
_atom_site_fract_y
_atom_site_fract_z
La1 0.000 0.000 0.500
Sc1 0.500 0.500 0.500
Re1 0.000 0.000 0.000
# Density of states at the Fermi level, states/eV/cell: 6.51
# Size of the total moment, μB/f.u.: 0.000
# ΔE to the lowest computed polymorph, meV/atom: 0
# DFT formation energy, eV/atom: 0.333



# LaSc2Re, relaxed, DFT GGA-PBE
data_LaSc2Re
_cell_length_a 3.489
_cell_length_b 5.232
_cell_length_c 10.589
_cell_angle_alpha 90.00
_cell_angle_beta 90.00
_cell_angle_gamma 90.00
_space_group_name_H-M_alt 'I m m m'
_space_group_IT_number 71
_space_group_name_Hall '-I 2 2'
loop_
_atom_site_label
_atom_site_fract_x
_atom_site_fract_y
_atom_site_fract_z
La1 0.000 0.000 0.000
Sc1 0.000 0.500 0.200
Re1 0.000 0.000 0.500
# Density of states at the Fermi level, states/eV/cell: 9.69
# Size of the total moment, μB/f.u.: 0.005
# ΔE to the lowest computed polymorph, meV/atom: 112
# DFT formation energy, eV/atom: 0.124



# LaSc2Re, relaxed, DFT GGA-PBE
data_LaSc2Re
_cell_length_a 3.3118
_cell_length_b 3.3118
_cell_length_c 30.1223
_cell_angle_alpha 90.00
_cell_angle_beta 90.00
_cell_angle_gamma 120.00
_space_group_name_H-M_alt 'R 3 m'
_space_group_IT_number 160
_space_group_name_Hall 'R 3 -2"'
loop_
_atom_site_label
_atom_site_fract_x
_atom_site_fract_y
_atom_site_fract_z
La1 0.0000 0.0000 0.0000
Sc1 0.0000 0.0000 0.2321
Sc2 0.0000 0.0000 0.4733
Re1 0.0000 0.0000 0.7414
# Density of states at the Fermi level, states/eV/cell: 18.47
# Size of the total moment, μB/f.u.: 0.217
# ΔE to the lowest computed polymorph, meV/atom: 347
# DFT formation energy, eV/atom: 0.359



# LaSc2Re, relaxed, DFT GGA-PBE
data_LaSc2Re
_cell_length_a 3.2904
_cell_length_b 3.2904
_cell_length_c 30.3539
_cell_angle_alpha 90.00
_cell_angle_beta 90.00
_cell_angle_gamma 120.00
_space_group_name_H-M_alt 'R -3 m'
_space_group_IT_number 166
_space_group_name_Hall '-R 3 2"'
loop_
_atom_site_label
_atom_site_fract_x
_atom_site_fract_y
_atom_site_fract_z
La1 0.0000 0.0000 0.0000
Sc1 0.0000 0.0000 0.2309
Re1 0.0000 0.0000 0.5000
# Density of states at the Fermi level, states/eV/cell: 13.42
# Size of the total moment, μB/f.u.: 0.026
# ΔE to the lowest computed polymorph, meV/atom: 170
# DFT formation energy, eV/atom: 0.182



# La2ScRe, relaxed, DFT GGA-PBE
data_La2ScRe
_cell_length_a 3.417
_cell_length_b 3.470
_cell_length_c 9.123
_cell_angle_alpha 90.00
_cell_angle_beta 94.73
_cell_angle_gamma 90.00
_space_group_name_H-M_alt 'P 1 m 1'
_space_group_IT_number 6
loop_
_space_group_symop_operation_xyz
'x,y,z'
'x,-y,z'
loop_
_atom_site_label
_atom_site_fract_x
_atom_site_fract_y
_atom_site_fract_z
La1 0.000 0.000 0.000
La2 0.493 0.500 0.656
Sc1 0.940 0.000 0.363
Re1 0.427 0.500 0.205
# Density of states at the Fermi level, states/eV/cell: 5.80
# Size of the total moment, μB/f.u.: 0.000
# ΔE to the lowest computed polymorph, meV/atom: 0
# DFT formation energy, eV/atom: 0.166



# LaScRe2, relaxed, DFT GGA-PBE
data_LaScRe2
_cell_length_a 3.122
_cell_length_b 3.122
_cell_length_c 8.852
_cell_angle_alpha 90.00
_cell_angle_beta 90.00
_cell_angle_gamma 90.00
_space_group_name_H-M_alt 'P 4 m m'
_space_group_IT_number 99
loop_
_space_group_symop_operation_xyz
'x,y,z'
'-y,x,z'
'-x,-y,z'
'y,-x,z'
'-x,y,z'
'y,x,z'
'x,-y,z'
'-y,-x,z'
loop_
_atom_site_label
_atom_site_fract_x
_atom_site_fract_y
_atom_site_fract_z
La1 0.000 0.000 0.000
Sc1 0.500 0.500 0.629
Re1 0.000 0.000 0.417
Re2 0.500 0.500 0.258
# Density of states at the Fermi level, states/eV/cell: 4.56
# Size of the total moment, μB/f.u.: 0.000
# ΔE to the lowest computed polymorph, meV/atom: 0
# DFT formation energy, eV/atom: 0.026



# LaSc2Re, relaxed, DFT GGA-PBE
data_LaSc2Re
_cell_length_a 3.295
_cell_length_b 3.295
_cell_length_c 8.907
_cell_angle_alpha 90.00
_cell_angle_beta 90.00
_cell_angle_gamma 90.00
_space_group_name_H-M_alt 'P 4/m m m'
_space_group_IT_number 123
_space_group_name_Hall '-P 4 2'
loop_
_atom_site_label
_atom_site_fract_x
_atom_site_fract_y
_atom_site_fract_z
La1 0.000 0.000 0.000
Sc1 0.500 0.500 0.326
Re1 0.000 0.000 0.500
# Density of states at the Fermi level, states/eV/cell: 6.54
# Size of the total moment, μB/f.u.: 0.001
# ΔE to the lowest computed polymorph, meV/atom: 0
# DFT formation energy, eV/atom: 0.012



# LaSc2Re, relaxed, DFT GGA-PBE
data_LaSc2Re
_cell_length_a 3.215
_cell_length_b 4.655
_cell_length_c 6.178
_cell_angle_alpha 90.00
_cell_angle_beta 104.61
_cell_angle_gamma 90.00
_space_group_name_H-M_alt 'P 1 2/m 1'
_space_group_IT_number 10
loop_
_space_group_symop_operation_xyz
'x,y,z'
'-x,-y,-z'
'-x,y,-z'
'x,-y,z'
loop_
_atom_site_label
_atom_site_fract_x
_atom_site_fract_y
_atom_site_fract_z
La1 0.000 0.000 0.000
Sc1 0.384 0.500 0.711
Re1 0.000 0.000 0.500
# Density of states at the Fermi level, states/eV/cell: 4.05
# Size of the total moment, μB/f.u.: 0.000
# ΔE to the lowest computed polymorph, meV/atom: 164
# DFT formation energy, eV/atom: 0.177



# La2ScRe, relaxed, DFT GGA-PBE
data_La2ScRe
_cell_length_a 7.107
_cell_length_b 7.233
_cell_length_c 3.948
_cell_angle_alpha 90.00
_cell_angle_beta 90.00
_cell_angle_gamma 90.00
_space_group_name_H-M_alt 'C m m m'
_space_group_IT_number 65
_space_group_name_Hall '-C 2 2'
loop_
_atom_site_label
_atom_site_fract_x
_atom_site_fract_y
_atom_site_fract_z
La1 0.250 0.250 0.000
Sc1 0.000 0.000 0.500
Re1 0.000 0.500 0.500
# Density of states at the Fermi level, states/eV/cell: 10.14
# Size of the total moment, μB/f.u.: 0.000
# ΔE to the lowest computed polymorph, meV/atom: 245
# DFT formation energy, eV/atom: 0.411



no.,raw total energy (eV/atom)
1,-6.898
2,-6.809
3,-8.272
4,-8.557
5,-8.436
6,-8.628
7,-6.380
8,-7.385
9,-7.150
10,-7.327
11,-6.993
12,-9.013
13,-7.497
14,-7.333
15,-6.748